Here is Dy4MgAg2 after structural relaxation from the Alexandria database. Energies are from PBE.

Volume   187.8 Å³ per cell
SG   R-3m (166)
ΔE_f   -0.0882 eV per atom
Total energy   -3.76 eV/atom
Crystal system   trigonal

abc: 5.156 5.156 8.682
angles: 72.73 72.73 60.00
Fractional positions:
1 Dy 0.868 0.868 0.397
2 Dy 0.132 0.132 0.603
3 Dy 0.614 0.614 0.158
4 Dy 0.386 0.386 0.842
5 Mg 0.000 0.000 0.000
6 Ag 0.742 0.742 0.773
7 Ag 0.258 0.258 0.227